USn2: optimized geometry, PBEsol.

abc: 7.184 7.184 5.146
angles: 90.00 90.00 148.89
Fractional positions:
U (0.190, 0.810, 0.000)
U (0.810, 0.190, 0.000)
Sn (0.000, 0.000, 0.500)
Sn (0.332, 0.668, 0.500)
Sn (0.500, 0.500, 0.000)
Sn (0.668, 0.332, 0.500)

**Total energy**: -41.7 eV per cell
**Space group**: No. 65
**Calculated volume**: 22.87 Å³ per atom
**M_tot**: 0.00 μB/f.u.
**Energy of formation**: -0.05 eV per atom

=====

MnAuO3: optimized geometry, PBEsol.

abc: 3.965 3.965 3.965
angles: 90.00 90.00 90.00
Fractional positions:
Mn (0.000, 0.000, 0.000)
Au (0.500, 0.500, 0.500)
O (0.000, 0.500, 0.500)
O (0.500, 0.000, 0.500)
O (0.500, 0.500, 0.000)

**Total energy**: -28.4 eV per cell
**Space group**: No. 221
**Calculated volume**: 12.46 Å³ per atom
**M_tot**: 4.91 μB/f.u.
**Uncorrected formation energy**: 216 meV/atom

=====

BaLi2Al2: optimized geometry, PBEsol.

abc: 6.036 6.036 6.036
angles: 130.69 130.69 72.31
Fractional positions:
Ba (0.000, 0.000, 0.000)
Li (0.250, 0.750, 0.500)
Li (0.750, 0.250, 0.500)
Al (0.370, 0.370, 0.000)
Al (0.630, 0.630, 0.000)

**Total energy**: -14.6 eV per cell
**Space group**: No. 139
**Calculated volume**: 24.73 Å³ per atom
**M_tot**: 0.00 μB/f.u.
**Energy of formation**: -0.07 eV per atom

=====

LiBe3F: optimized geometry, PBEsol.

abc: 4.085 4.085 4.085
angles: 90.00 90.00 90.00
Fractional positions:
Li (0.000, 0.000, 0.000)
Be (0.000, 0.000, 0.500)
Be (0.000, 0.500, 0.000)
Be (0.500, 0.000, 0.000)
F (0.500, 0.500, 0.500)

**Total energy**: -10.8 eV per cell
**Space group**: No. 221
**Calculated volume**: 13.64 Å³ per atom
**M_tot**: 0.00 μB/f.u.
**Uncorrected formation energy**: 1026 meV/atom

=====

CdP2Pb: optimized geometry, PBEsol.

abc: 3.697 3.697 6.190
angles: 90.00 90.00 90.00
Fractional positions:
Cd (0.000, 0.000, 0.000)
P (0.500, 0.500, 0.182)
P (0.500, 0.500, 0.818)
Pb (0.000, 0.000, 0.500)

**Total energy**: -15.7 eV per cell
**Space group**: No. 123
**Calculated volume**: 21.15 Å³ per atom
**M_tot**: 0.00 μB/f.u.
**Energy of formation**: 0.26 eV per atom

=====

SiPt2: optimized geometry, PBEsol.

abc: 6.480 6.480 3.547
angles: 90.00 90.00 120.00
Fractional positions:
Si (0.000, 0.000, 0.000)
Si (0.333, 0.667, 0.500)
Si (0.667, 0.333, 0.500)
Pt (0.000, 0.383, 0.000)
Pt (0.000, 0.724, 0.500)
Pt (0.276, 0.276, 0.500)
Pt (0.383, 0.000, 0.000)
Pt (0.617, 0.617, 0.000)
Pt (0.724, 0.000, 0.500)

**Total energy**: -65.0 eV per cell
**Space group**: No. 189
**Calculated volume**: 14.33 Å³ per atom
**M_tot**: 0.00 μB/f.u.
**Uncorrected formation energy**: -668 meV/atom

=====

Nd3HoZr4O14: optimized geometry, PBEsol.

abc: 7.481 7.481 7.481
angles: 60.02 60.02 60.02
Fractional positions:
Nd (0.000, 0.500, 0.500)
Nd (0.500, 0.000, 0.500)
Nd (0.500, 0.500, 0.000)
Ho (0.500, 0.500, 0.500)
Zr (0.000, 0.000, 0.000)
Zr (0.000, 0.000, 0.500)
Zr (0.000, 0.500, 0.000)
Zr (0.500, 0.000, 0.000)
O (0.087, 0.087, 0.663)
O (0.087, 0.663, 0.087)
O (0.090, 0.663, 0.663)
O (0.337, 0.337, 0.910)
O (0.337, 0.910, 0.337)
O (0.337, 0.913, 0.913)
O (0.380, 0.380, 0.380)
O (0.620, 0.620, 0.620)
O (0.663, 0.087, 0.087)
O (0.663, 0.090, 0.663)
O (0.663, 0.663, 0.090)
O (0.910, 0.337, 0.337)
O (0.913, 0.337, 0.913)
O (0.913, 0.913, 0.337)

**Total energy**: -207.2 eV per cell
**Space group**: No. 166
**Calculated volume**: 13.46 Å³ per atom
**M_tot**: 0.00 μB/f.u.
**Uncorrected formation energy**: -3496 meV/atom

=====

CsRb3Cd: optimized geometry, PBEsol.

abc: 8.508 8.508 8.508
angles: 90.00 90.00 90.00
Fractional positions:
Cs (0.000, 0.000, 0.000)
Rb (0.000, 0.000, 0.500)
Rb (0.000, 0.500, 0.000)
Rb (0.500, 0.000, 0.000)
Cd (0.500, 0.500, 0.500)

**Total energy**: -2.8 eV per cell
**Space group**: No. 221
**Calculated volume**: 123.16 Å³ per atom
**M_tot**: 0.00 μB/f.u.
**Energy of formation**: 0.48 eV per atom

=====

ZrCuRh2: optimized geometry, PBEsol.

abc: 5.144 5.144 2.800
angles: 104.23 104.23 115.72
Fractional positions:
Zr (0.000, 0.000, 0.000)
Cu (0.500, 0.500, 0.000)
Rh (0.000, 0.500, 0.500)
Rh (0.500, 0.000, 0.500)

**Total energy**: -30.6 eV per cell
**Space group**: No. 12
**Calculated volume**: 14.80 Å³ per atom
**M_tot**: 0.00 μB/f.u.
**Energy of formation**: -0.24 eV per atom

=====

TaHg3F6: optimized geometry, PBEsol.

abc: 5.086 5.086 7.476
angles: 90.00 90.00 120.00
Fractional positions:
Ta (0.000, 0.000, 0.000)
Hg (0.000, 0.000, 0.500)
Hg (0.333, 0.667, 0.500)
Hg (0.667, 0.333, 0.500)
F (0.000, 0.303, 0.153)
F (0.000, 0.697, 0.847)
F (0.303, 0.000, 0.153)
F (0.303, 0.303, 0.847)
F (0.697, 0.000, 0.847)
F (0.697, 0.697, 0.153)

**Total energy**: -48.0 eV per cell
**Space group**: No. 162
**Calculated volume**: 16.75 Å³ per atom
**M_tot**: 0.00 μB/f.u.
**Uncorrected formation energy**: -2214 meV/atom

=====

AlCrGe: optimized geometry, PBEsol.

abc: 5.869 4.864 4.676
angles: 75.91 53.49 50.60
Fractional positions:
Al (0.172, 0.828, 0.172)
Al (0.828, 0.172, 0.828)
Cr (0.500, 0.500, 0.500)
Cr (0.750, 0.750, 0.750)
Ge (0.080, 0.420, 0.080)
Ge (0.420, 0.080, 0.420)

**Total energy**: -39.2 eV per cell
**Space group**: No. 22
**Calculated volume**: 13.49 Å³ per atom
**M_tot**: 0.86 μB/f.u.
**Energy of formation**: -0.10 eV per atom

=====

K3RbAu: optimized geometry, PBEsol.

abc: 6.536 6.536 6.536
angles: 90.00 90.00 90.00
Fractional positions:
K (0.000, 0.000, 0.500)
K (0.000, 0.500, 0.000)
K (0.500, 0.000, 0.000)
Rb (0.500, 0.500, 0.500)
Au (0.000, 0.000, 0.000)

**Total energy**: -8.6 eV per cell
**Space group**: No. 221
**Calculated volume**: 55.85 Å³ per atom
**M_tot**: 0.00 μB/f.u.
**Energy of formation**: -0.05 eV per atom